A plane-wave DFT calculation with PBE-GGA was carried out for a geometry-optimized Ta2ReMo6 structure.

Cell: 4.9494 5.0465 6.7781 Å, 76.99 68.65 89.98°
Element x y z (fractional)
1 Ta 0.1090 0.0784 0.2813
2 Ta 0.8910 0.9216 0.7187
3 Re 0.5000 0.0000 0.5000
4 Mo 0.2354 0.6330 0.0296
5 Mo 0.2431 0.5001 0.5001
6 Mo 0.3204 0.1413 0.8591
7 Mo 0.6796 0.8587 0.1409
8 Mo 0.7569 0.4999 0.4999
9 Mo 0.7646 0.3670 0.9704

## Properties
* DFT total energy: -99.15 eV/cell
* theoretical density: 12196 kg/m3
* polymorph energy (0 for the lowest one): 0.199 eV per atom
* space-group type: P-1, No. 2
* density of states at the Fermi level: 7.438 states/eV/cell